No. 1
The following is a DFT calculation (meta-GGA SCAN) of Ta2CuPI at its PBEsol-relaxed geometry.

## Properties
Total moment ... 0.0 μB per cell
Raw total energy ... -36.831 eV/atom
Formation energy without anion corrections ... 11.35 eV/f.u.

Geometry as POSCAR:
```
Ta2CuPI
1.0
4.4472 0.0000 0.0000
0.0000 5.0271 0.0000
0.0000 0.0000 5.0271
P Cu Ta I
1 1 2 1
Direct
0.5000 0.5000 0.5000
0.5000 0.0000 0.0000
0.0000 0.0000 0.5000
0.0000 0.5000 0.0000
0.0000 0.0000 0.0000
```

---

No. 2
The following is a DFT calculation (meta-GGA SCAN) of CuSbPbI2 at its PBEsol-relaxed geometry.

## Properties
Total moment ... 0.0 μB per cell
Raw total energy ... -40.106 eV/atom
Formation energy without anion corrections ... 1.19 eV/f.u.

Geometry as POSCAR:
```
CuSbPbI2
1.0
5.1852 0.0000 0.0000
0.0000 5.2586 0.0000
0.0000 0.0000 5.2586
I Cu Sb Pb
2 1 1 1
Direct
0.0000 0.5000 0.0000
0.0000 0.0000 0.5000
0.0000 0.0000 0.0000
0.5000 0.0000 0.0000
0.5000 0.5000 0.5000
```